No. 1
## Li2Np2CoO6 (PBE with a Hubbard U)

Data for Li2Np2CoO6 after structural relaxation.

```
data_Li2Np2CoO6
_space_group_name_H-M_alt 'R -3 m'
_space_group_IT_number 166
_space_group_name_Hall '-R 3 2"'
_cell_length_a 5.6980
_cell_length_b 5.6980
_cell_length_c 14.5009
_cell_angle_alpha 90.00
_cell_angle_beta 90.00
_cell_angle_gamma 120.00
loop_
_atom_site_label
_atom_site_type_symbol
_atom_site_fract_x
_atom_site_fract_y
_atom_site_fract_z
Li1 Li 0.0000 0.0000 0.0844
Np1 Np 0.0000 0.0000 0.3046
Co1 Co 0.0000 0.0000 0.5000
O1 O 0.0322 0.5161 0.2556
```



No. 2
## LiNpCo2O6 (PBE with a Hubbard U)

Data for LiNpCo2O6 after structural relaxation.

```
data_LiNpCo2O6
_space_group_name_H-M_alt 'P 4 m m'
_space_group_IT_number 99
_space_group_name_Hall 'P 4 -2'
_cell_length_a 5.850
_cell_length_b 5.850
_cell_length_c 4.193
_cell_angle_alpha 90.00
_cell_angle_beta 90.00
_cell_angle_gamma 90.00
loop_
_atom_site_label
_atom_site_type_symbol
_atom_site_fract_x
_atom_site_fract_y
_atom_site_fract_z
Li1 Li 0.000 0.000 0.000
Np1 Np 0.500 0.500 0.018
Co1 Co 0.000 0.500 0.111
O1 O 0.000 0.000 0.508
O2 O 0.253 0.253 0.046
O3 O 0.500 0.500 0.522
```



No. 3
## LiNpCoO5 (PBE with a Hubbard U)

Data for LiNpCoO5 after structural relaxation.

```
data_LiNpCoO5
_space_group_name_H-M_alt 'C 1 2/c 1'
_space_group_IT_number 15
_space_group_name_Hall '-C 2yc'
_cell_length_a 6.337
_cell_length_b 10.076
_cell_length_c 7.606
_cell_angle_alpha 90.00
_cell_angle_beta 108.52
_cell_angle_gamma 90.00
loop_
_atom_site_label
_atom_site_type_symbol
_atom_site_fract_x
_atom_site_fract_y
_atom_site_fract_z
Li1 Li 0.000 0.026 0.250
Np1 Np 0.250 0.250 0.000
Co1 Co 0.000 0.476 0.250
O1 O 0.000 0.335 0.750
O2 O 0.030 0.160 0.062
O3 O 0.216 0.417 0.146
```



E_tot: -84.96, -68.57, -61.05 (eV/f.u.)